Here is Ag3Au2 after structural relaxation from Alexandria via LeMat-Bulk. Energies are from PBE.

The total energy comes out at -2.926 eV/atom. The calculation puts the spin magnetization at 0.00 μB per formula unit. The volume is 294.34 Å³ per cell. For the density of states at the Fermi level, the calculation gives 4.0 states/eV/cell. The formation energy is 0.0956 eV per atom.

The space group is R-3m (No. 166, hexagonal axes) and the conventional cell measures 5.5308, 5.5308 and 11.1108 Å, with angles of 90.00, 90.00 and 120.00 degrees. Symmetry generates all atoms from Ag at (0.0000, 0.5000, 0.0000) and Au at (0.0000, 0.0000, 0.1230).

Here is AgAu4 after structural relaxation from Alexandria via LeMat-Bulk. Energies are from PBE.

The total energy comes out at -3.214 eV/atom. The calculation puts the spin magnetization at 0.00 μB per formula unit. The volume is 179.83 Å³ per cell. For the density of states at the Fermi level, the calculation gives 2.5 states/eV/cell. The formation energy is -0.0216 eV per atom.

The space group is I4/mmm (No. 139) and the conventional cell measures 2.925, 2.925 and 21.016 Å, with angles of 90.00, 90.00 and 90.00 degrees. Symmetry generates all atoms from Ag at (0.000, 0.000, 0.000), Au at (0.000, 0.000, 0.200) and Au at (0.000, 0.000, 0.401).

Here is Ag3Au after structural relaxation from Alexandria via LeMat-Bulk. Energies are from PBE.

The total energy comes out at -2.968 eV/atom. The calculation puts the spin magnetization at 0.00 μB per formula unit. The volume is 144.08 Å³ per cell. For the density of states at the Fermi level, the calculation gives 2.0 states/eV/cell. The formation energy is -0.0107 eV per atom.

The space group is P6_3/mmc (No. 194) and the conventional cell measures 5.8887, 5.8887 and 4.7976 Å, with angles of 90.00, 90.00 and 120.00 degrees. Symmetry generates all atoms from Ag at (0.1666, 0.3333, 0.2500) and Au at (0.3333, 0.6667, 0.7500).

Here is Ag3Au2 after structural relaxation from Alexandria via LeMat-Bulk. Energies are from PBE.

The total energy comes out at -3.011 eV/atom. The calculation puts the spin magnetization at 0.00 μB per formula unit. The volume is 728.29 Å³ per cell. For the density of states at the Fermi level, the calculation gives 13.8 states/eV/cell. The formation energy is 0.0105 eV per atom.

The space group is Fdd2 (No. 43) and the conventional cell measures 9.961, 14.305 and 5.111 Å, with angles of 90.00, 90.00 and 90.00 degrees. Symmetry generates all atoms from Ag at (0.000, 0.000, 0.000), Ag at (0.028, 0.401, 0.013) and Au at (0.016, 0.298, 0.537).

Here is Ag3Au after structural relaxation from Alexandria via LeMat-Bulk. Energies are from PBE.

The total energy comes out at -2.975 eV/atom. The calculation puts the spin magnetization at 0.00 μB per formula unit. The volume is 144.07 Å³ per cell. For the density of states at the Fermi level, the calculation gives 1.7 states/eV/cell. The formation energy is -0.0172 eV per atom.

The space group is Pmmn (No. 59, origin choice 2) and the conventional cell measures 4.780, 5.931 and 5.082 Å, with angles of 90.00, 90.00 and 90.00 degrees. Symmetry generates all atoms from Ag at (0.250, 0.001, 0.165), Ag at (0.250, 0.750, 0.662) and Au at (0.250, 0.250, 0.669).

Here is Ag3Au4 after structural relaxation from Alexandria via LeMat-Bulk. Energies are from PBE.

The total energy comes out at -3.140 eV/atom. The calculation puts the spin magnetization at 0.00 μB per formula unit. The volume is 251.09 Å³ per cell. For the density of states at the Fermi level, the calculation gives 3.3 states/eV/cell. The formation energy is -0.0450 eV per atom.

The space group is Immm (No. 71) and the conventional cell measures 2.920, 4.197 and 20.488 Å, with angles of 90.00, 90.00 and 90.00 degrees. Symmetry generates all atoms from Ag at (0.000, 0.000, 0.000), Ag at (0.000, 0.000, 0.143), Au at (0.000, 0.000, 0.286) and Au at (0.000, 0.000, 0.429).

Here is Ag2Au3 after structural relaxation from Alexandria via LeMat-Bulk. Energies are from PBE.

The total energy comes out at -3.107 eV/atom. The calculation puts the spin magnetization at 0.00 μB per formula unit. The volume is 729.22 Å³ per cell. For the density of states at the Fermi level, the calculation gives 10.0 states/eV/cell. The formation energy is 0.0001 eV per atom.

The space group is Fdd2 (No. 43) and the conventional cell measures 10.008, 14.405 and 5.058 Å, with angles of 90.00, 90.00 and 90.00 degrees. Symmetry generates all atoms from Ag at (0.001, 0.200, 0.000), Au at (0.000, 0.000, 0.002) and Au at (0.002, 0.100, 0.501).

Here is Ag13Au2 after structural relaxation from Alexandria via LeMat-Bulk. Energies are from PBE.

The total energy comes out at -2.646 eV/atom. The calculation puts the spin magnetization at 0.00 μB per formula unit. The volume is 1055.57 Å³ per cell. For the density of states at the Fermi level, the calculation gives 17.1 states/eV/cell. The formation energy is 0.2624 eV per atom.

The space group is R-3m (No. 166, hexagonal axes) and the conventional cell measures 7.6961, 7.6961 and 20.5789 Å, with angles of 90.00, 90.00 and 120.00 degrees. Symmetry generates all atoms from Ag at (0.0000, 0.0000, 0.0000), Ag at (0.0878, 0.5439, 0.5586), Ag at (0.0900, 0.5450, 0.3138) and Au at (0.0000, 0.0000, 0.2315).

Here is Ag3Au4 after structural relaxation from Alexandria via LeMat-Bulk. Energies are from PBE.

The total energy comes out at -2.948 eV/atom. The calculation puts the spin magnetization at 0.00 μB per formula unit. The volume is 131.27 Å³ per cell. For the density of states at the Fermi level, the calculation gives 1.7 states/eV/cell. The formation energy is 0.1471 eV per atom.

The space group is P6/mmm (No. 191) and the conventional cell measures 5.3606, 5.3606 and 5.2749 Å, with angles of 90.00, 90.00 and 120.00 degrees. Symmetry generates all atoms from Ag at (0.0000, 0.5000, 0.0000), Au at (0.0000, 0.0000, 0.2530) and Au at (0.3333, 0.6667, 0.5000).

Here is Ag3Au after structural relaxation from Alexandria via LeMat-Bulk. Energies are from PBE.

The total energy comes out at -2.963 eV/atom. The calculation puts the spin magnetization at 0.00 μB per formula unit. The volume is 143.74 Å³ per cell. For the density of states at the Fermi level, the calculation gives 1.8 states/eV/cell. The formation energy is -0.0049 eV per atom.

The space group is Imm2 (No. 44) and the conventional cell measures 2.909, 9.763 and 5.062 Å, with angles of 90.00, 90.00 and 90.00 degrees. Symmetry generates all atoms from Ag at (0.000, 0.000, 0.000), Ag at (0.000, 0.249, 0.667) and Au at (0.000, 0.500, 0.998).

Here is AgAu6 after structural relaxation from Alexandria via LeMat-Bulk. Energies are from PBE.

The total energy comes out at -2.492 eV/atom. The calculation puts the spin magnetization at 0.00 μB per formula unit. The volume is 416.82 Å³ per cell. For the density of states at the Fermi level, the calculation gives 6.6 states/eV/cell. The formation energy is 0.7246 eV per atom.

The space group is Im-3m (No. 229) and the conventional cell measures 7.470, 7.470 and 7.470 Å, with angles of 90.00, 90.00 and 90.00 degrees. Symmetry generates all atoms from Ag at (0.000, 0.000, 0.000) and Au at (0.000, 0.250, 0.500).

Here is Ag2Au3 after structural relaxation from Alexandria via LeMat-Bulk. Energies are from PBE.

The total energy comes out at -3.137 eV/atom. The calculation puts the spin magnetization at 0.00 μB per formula unit. The volume is 179.54 Å³ per cell. For the density of states at the Fermi level, the calculation gives 2.2 states/eV/cell. The formation energy is -0.0305 eV per atom.

The space group is Immm (No. 71) and the conventional cell measures 2.921, 4.112 and 14.952 Å, with angles of 90.00, 90.00 and 90.00 degrees. Symmetry generates all atoms from Ag at (0.000, 0.000, 0.200), Au at (0.000, 0.000, 0.000) and Au at (0.000, 0.000, 0.398).

Here is Ag2Au13 after structural relaxation from Alexandria via LeMat-Bulk. Energies are from PBE.

The total energy comes out at -3.151 eV/atom. The calculation puts the spin magnetization at 0.00 μB per formula unit. The volume is 287.62 Å³ per cell. For the density of states at the Fermi level, the calculation gives 4.2 states/eV/cell. The formation energy is 0.0695 eV per atom.

The space group is P-1 (No. 2) and the conventional cell measures 5.450, 7.522 and 7.645 Å, with angles of 104.42, 103.03 and 99.37 degrees. Symmetry generates all atoms from Ag at (0.164, 0.189, 0.390), Au at (0.000, 0.000, 0.000), Au at (0.069, 0.500, 0.692), Au at (0.162, 0.692, 0.075), Au at (0.263, 0.173, 0.777), Au at (0.290, 0.854, 0.473), Au at (0.435, 0.510, 0.307) and Au at (0.457, 0.839, 0.849).

Here is Ag3Au after structural relaxation from Alexandria via LeMat-Bulk. Energies are from PBE.

The total energy comes out at -2.983 eV/atom. The calculation puts the spin magnetization at 0.00 μB per formula unit. The volume is 143.33 Å³ per cell. For the density of states at the Fermi level, the calculation gives 2.0 states/eV/cell. The formation energy is -0.0254 eV per atom.

The space group is I4/mmm (No. 139) and the conventional cell measures 4.165, 4.165 and 8.261 Å, with angles of 90.00, 90.00 and 90.00 degrees. Symmetry generates all atoms from Ag at (0.000, 0.000, 0.000), Ag at (0.000, 0.500, 0.250) and Au at (0.000, 0.000, 0.500).

Here is Ag3Au2 after structural relaxation from Alexandria via LeMat-Bulk. Energies are from PBE.

The total energy comes out at -3.034 eV/atom. The calculation puts the spin magnetization at 0.00 μB per formula unit. The volume is 269.40 Å³ per cell. For the density of states at the Fermi level, the calculation gives 5.9 states/eV/cell. The formation energy is -0.0123 eV per atom.

The space group is R-3m (No. 166, hexagonal axes) and the conventional cell measures 2.9600, 2.9600 and 35.5059 Å, with angles of 90.00, 90.00 and 120.00 degrees. Symmetry generates all atoms from Ag at (0.0000, 0.0000, 0.0000), Ag at (0.0000, 0.0000, 0.1997) and Au at (0.0000, 0.0000, 0.3999).

Here is Ag5Au24 after structural relaxation from Alexandria via LeMat-Bulk. Energies are from PBE.

The total energy comes out at -3.164 eV/atom. The calculation puts the spin magnetization at 0.00 μB per formula unit. The volume is 1078.01 Å³ per cell. For the density of states at the Fermi level, the calculation gives 19.8 states/eV/cell. The formation energy is 0.0398 eV per atom.

The space group is I-43m (No. 217) and the conventional cell measures 10.254, 10.254 and 10.254 Å, with angles of 90.00, 90.00 and 90.00 degrees. Symmetry generates all atoms from Ag at (0.000, 0.000, 0.000), Ag at (0.167, 0.167, 0.167), Au at (0.056, 0.363, 0.637) and Au at (0.095, 0.095, 0.713).

Here is Ag8Au after structural relaxation from Alexandria via LeMat-Bulk. Energies are from PBE.

The total energy comes out at -2.892 eV/atom. The calculation puts the spin magnetization at 0.00 μB per formula unit. The volume is 322.96 Å³ per cell. For the density of states at the Fermi level, the calculation gives 5.9 states/eV/cell. The formation energy is 0.0061 eV per atom.

The space group is I4/mmm (No. 139) and the conventional cell measures 9.041, 9.041 and 3.951 Å, with angles of 90.00, 90.00 and 90.00 degrees. Symmetry generates all atoms from Ag at (0.000, 0.334, 0.000), Ag at (0.167, 0.167, 0.500) and Au at (0.000, 0.000, 0.000).

Here is Ag5Au after structural relaxation from Alexandria via LeMat-Bulk. Energies are from PBE.

The total energy comes out at -2.929 eV/atom. The calculation puts the spin magnetization at 0.00 μB per formula unit. The volume is 215.29 Å³ per cell. For the density of states at the Fermi level, the calculation gives 2.3 states/eV/cell. The formation energy is -0.0063 eV per atom.

The space group is Amm2 (No. 38) and the conventional cell measures 4.806, 2.907 and 15.411 Å, with angles of 90.00, 90.00 and 90.00 degrees. Symmetry generates all atoms from Ag at (0.000, 0.000, 0.000), Ag at (0.000, 0.000, 0.333), Ag at (0.000, 0.000, 0.666), Ag at (0.500, 0.000, 0.108), Ag at (0.500, 0.000, 0.442) and Au at (0.500, 0.000, 0.775).

Here is Ag2Au3 after structural relaxation from Alexandria via LeMat-Bulk. Energies are from PBE.

The total energy comes out at -3.146 eV/atom. The calculation puts the spin magnetization at 0.00 μB per formula unit. The volume is 179.65 Å³ per cell. For the density of states at the Fermi level, the calculation gives 2.6 states/eV/cell. The formation energy is -0.0390 eV per atom.

The space group is C2/m (No. 12) and the conventional cell measures 9.753, 2.908 and 7.204 Å, with angles of 90.00, 118.47 and 90.00 degrees. Symmetry generates all atoms from Ag at (0.199, 0.000, 0.299), Au at (0.000, 0.000, 0.500) and Au at (0.099, 0.500, 0.898).

Here is AgAu4 after structural relaxation from Alexandria via LeMat-Bulk. Energies are from PBE.

The total energy comes out at -3.194 eV/atom. The calculation puts the spin magnetization at 0.00 μB per formula unit. The volume is 270.56 Å³ per cell. For the density of states at the Fermi level, the calculation gives 5.8 states/eV/cell. The formation energy is -0.0020 eV per atom.

The space group is R-3m (No. 166, hexagonal axes) and the conventional cell measures 2.9739, 2.9739 and 35.3247 Å, with angles of 90.00, 90.00 and 120.00 degrees. Symmetry generates all atoms from Ag at (0.0000, 0.0000, 0.0000), Au at (0.0000, 0.0000, 0.2000) and Au at (0.0000, 0.0000, 0.3995).

Here is Ag2Au7 after structural relaxation from Alexandria via LeMat-Bulk. Energies are from PBE.

The total energy comes out at -3.179 eV/atom. The calculation puts the spin magnetization at 0.00 μB per formula unit. The volume is 163.12 Å³ per cell. For the density of states at the Fermi level, the calculation gives 1.7 states/eV/cell. The formation energy is 0.0042 eV per atom.

The space group is P-62m (No. 189) and the conventional cell measures 8.0791, 8.0791 and 2.8856 Å, with angles of 90.00, 90.00 and 120.00 degrees. Symmetry generates all atoms from Ag at (0.3333, 0.6667, 0.0000), Au at (0.0000, 0.0000, 0.5000), Au at (0.0000, 0.3087, 0.0000) and Au at (0.0000, 0.6374, 0.5000).

Here is AgAu6 after structural relaxation from Alexandria via LeMat-Bulk. Energies are from PBE.

The total energy comes out at -3.211 eV/atom. The calculation puts the spin magnetization at 0.00 μB per formula unit. The volume is 379.72 Å³ per cell. For the density of states at the Fermi level, the calculation gives 4.5 states/eV/cell. The formation energy is 0.0053 eV per atom.

The space group is R-3 (No. 148, hexagonal axes) and the conventional cell measures 12.3402, 12.3402 and 2.8793 Å, with angles of 90.00, 90.00 and 120.00 degrees. Symmetry generates all atoms from Ag at (0.0000, 0.0000, 0.0000) and Au at (0.0495, 0.2387, 0.6525).

Here is Ag17Au12 after structural relaxation from Alexandria via LeMat-Bulk. Energies are from PBE.

The total energy comes out at -3.010 eV/atom. The calculation puts the spin magnetization at 0.00 μB per formula unit. The volume is 1077.42 Å³ per cell. For the density of states at the Fermi level, the calculation gives 20.0 states/eV/cell. The formation energy is 0.0177 eV per atom.

The space group is I-43m (No. 217) and the conventional cell measures 10.252, 10.252 and 10.252 Å, with angles of 90.00, 90.00 and 90.00 degrees. Symmetry generates all atoms from Ag at (0.000, 0.000, 0.000), Ag at (0.054, 0.363, 0.363), Ag at (0.170, 0.170, 0.830) and Au at (0.095, 0.095, 0.287).